# LiNd2AlO

A geometry-optimized LiNd2AlO structure (PBE, Alexandria).

Geometry as POSCAR:
```
LiNd2AlO
1.0
4.985 0.000 0.000
0.000 4.985 0.000
0.000 0.000 4.189
Li Nd Al O
1 2 1 1
Direct
0.000 0.000 0.000 Li
0.000 0.500 0.500 Nd
0.500 0.000 0.500 Nd
0.500 0.500 0.000 Al
0.000 0.000 0.500 O
```

Output
Density ... 5.4 g/cm3
Magnetic moment ... 0.0 μB per formula unit
Symmetry ... P4/mmm, No. 123
Uncorrected formation energy ... -1.281 eV per atom